The following is a DFT calculation (PBE) of a relaxed FeHgP crystal.

Lattice parameters (Å, degrees): 3.7690 3.7690 3.9005 90.00 90.00 120.00
Space group P-6m2 (No. 187)
Unique sites:
Fe 0.0000 0.0000 0.0000 (multiplicity 1)
Hg 0.6667 0.3333 0.5000 (multiplicity 1)
P 0.3333 0.6667 0.0000 (multiplicity 1)

Relative energy among the computed polymorphs, eV/atom: 0.076
Density of states at the Fermi level, states/eV per atom: 0.6231
Energy relative to the elements, kcal/mol of atoms: 4.61

=====

The following is a DFT calculation (PBE) of a relaxed FeHgP2 crystal.

Lattice parameters (Å, degrees): 3.4584 4.0490 4.7500 90.00 90.00 90.00
Space group Pmmm (No. 47)
Unique sites:
Fe 0.0000 0.0000 0.0000 (multiplicity 1)
Hg 0.5000 0.5000 0.0000 (multiplicity 1)
P 0.0000 0.5000 0.5000 (multiplicity 1)
P 0.5000 0.0000 0.5000 (multiplicity 1)

Density of states at the Fermi level, states/eV per atom: 0.9794
Energy relative to the elements, kcal/mol of atoms: 16.95

=====

The following is a DFT calculation (PBE) of a relaxed FeHg2P crystal.

Lattice parameters (Å, degrees): 6.6925 6.6925 6.6925 90.00 90.00 90.00
Space group F-43m (No. 216)
Unique sites:
Fe 0.0000 0.0000 0.0000 (multiplicity 4)
Hg 0.0000 0.0000 0.5000 (multiplicity 4)
Hg 0.2500 0.2500 0.2500 (multiplicity 4)
P 0.2500 0.2500 0.7500 (multiplicity 4)

Density of states at the Fermi level, states/eV per atom: 0.7232
Energy relative to the elements, kcal/mol of atoms: 15.61

=====

The following is a DFT calculation (PBE) of a relaxed FeHgP2 crystal.

Lattice parameters (Å, degrees): 13.9997 2.7704 3.7234 90.00 103.20 90.00
Space group Cm (No. 8)
Unique sites:
Fe 0.0000 0.0000 0.0000 (multiplicity 2)
Hg 0.1869 0.5000 0.1470 (multiplicity 2)
P 0.3659 0.0000 0.7505 (multiplicity 2)
P 0.4827 0.0000 0.4635 (multiplicity 2)

Density of states at the Fermi level, states/eV per atom: 0.4015
Energy relative to the elements, kcal/mol of atoms: 2.42

=====

The following is a DFT calculation (PBE) of a relaxed FeHg2P crystal.

Lattice parameters (Å, degrees): 3.0691 3.0691 27.3920 90.00 90.00 120.00
Space group R-3m (No. 166, hexagonal axes)
Unique sites:
Fe 0.0000 0.0000 0.0000 (multiplicity 3)
Hg 0.0000 0.0000 0.2542 (multiplicity 6)
P 0.0000 0.0000 0.5000 (multiplicity 3)

Density of states at the Fermi level, states/eV per atom: 0.5704
Energy relative to the elements, kcal/mol of atoms: 14.35

=====

The following is a DFT calculation (PBE) of a relaxed FeHgP2 crystal.

Lattice parameters (Å, degrees): 2.8406 2.8406 8.6477 90.00 90.00 90.00
Space group P4/mmm (No. 123)
Unique sites:
Fe 0.0000 0.0000 0.0000 (multiplicity 1)
Hg 0.0000 0.0000 0.5000 (multiplicity 1)
P 0.5000 0.5000 0.1504 (multiplicity 2)

Density of states at the Fermi level, states/eV per atom: 0.3139
Energy relative to the elements, kcal/mol of atoms: 0.51

=====

Q: The lowest energy relative to the elements belongs to which entry?
A: number 6

=====

Q: What is the energy relative to the elements in the first record?
A: 4.61 kcal/mol of atoms

=====

Q: Which of these has the highest density of states at the Fermi level?
A: number 2

=====

Q: What is the formula in the fourth record?
A: FeHgP2